No. 1
GGA-PBE FeCSe2Br, relaxed; electronic total energy = -3.69 eV/atom; excess energy over the best structure of this formula in the dataset = 247 meV/atom; space-group type = P4/mmm, No. 123; uncorrected formation energy = 1.573 eV per atom
1.0
4.660 0.000 0.000
0.000 4.660 0.000
0.000 0.000 5.168
Fe C Se Br
1 1 2 1
Direct
0.000 0.000 0.000 Fe
0.500 0.500 0.500 C
0.000 0.500 0.000 Se
0.500 0.000 0.000 Se
0.000 0.000 0.500 Br



No. 2
GGA-PBE BaMg2As2, relaxed; electronic total energy = -3.77 eV/atom; space-group type = C2/c, No. 15
1.0
5.569 -4.411 0.000
5.569 4.411 0.000
-5.560 0.000 5.718
Ba Mg As
2 4 4
Direct
0.125 0.875 0.750 Ba
0.875 0.125 0.250 Ba
0.243 0.493 0.986 Mg
0.493 0.243 0.486 Mg
0.507 0.757 0.514 Mg
0.757 0.507 0.014 Mg
0.172 0.423 0.251 As
0.423 0.172 0.751 As
0.577 0.828 0.249 As
0.828 0.577 0.749 As



No. 3
GGA-PBE AcZnGePd3, relaxed; electronic total energy = -4.83 eV/atom; space-group type = Cmcm, No. 63
1.0
3.330 -6.278 0.000
3.330 6.278 0.000
0.000 0.000 5.920
Ac Zn Ge Pd
2 2 2 6
Direct
0.212 0.788 0.750 Ac
0.788 0.212 0.250 Ac
0.132 0.868 0.250 Zn
0.868 0.132 0.750 Zn
0.460 0.540 0.750 Ge
0.540 0.460 0.250 Ge
0.210 0.210 0.000 Pd
0.210 0.210 0.500 Pd
0.337 0.663 0.250 Pd
0.663 0.337 0.750 Pd
0.790 0.790 0.000 Pd
0.790 0.790 0.500 Pd



No. 4
GGA-PBE BeCdGe, relaxed; electronic total energy = -2.88 eV/atom; excess energy over the best structure of this formula in the dataset = 22 meV/atom; space-group type = Cm, No. 8
1.0
3.622 -1.858 0.000
3.622 1.858 0.000
-3.249 0.000 8.270
Be Cd Ge
2 2 2
Direct
0.000 0.000 0.000 Be
0.733 0.733 0.786 Be
0.164 0.164 0.312 Cd
0.978 0.978 0.550 Cd
0.423 0.423 0.797 Ge
0.723 0.723 0.068 Ge



No. 5
GGA-PBE UFeSe3, relaxed; electronic total energy = -6.75 eV/atom; space-group type = Cmcm, No. 63; uncorrected formation energy = -0.713 eV per atom
1.0
1.949 -5.534 0.000
1.949 5.534 0.000
0.000 0.000 9.394
U Fe Se
2 2 6
Direct
0.220 0.780 0.750 U
0.780 0.220 0.250 U
0.000 0.000 0.000 Fe
0.000 0.000 0.500 Fe
0.080 0.920 0.250 Se
0.360 0.640 0.042 Se
0.360 0.640 0.458 Se
0.640 0.360 0.542 Se
0.640 0.360 0.958 Se
0.920 0.080 0.750 Se



No. 6
GGA-PBE HfCNO2, relaxed; electronic total energy = -7.63 eV/atom; space-group type = P4/mmm, No. 123; uncorrected formation energy = -0.146 eV per atom
1.0
3.420 0.000 0.000
0.000 3.420 0.000
0.000 0.000 3.544
Hf C N O
1 1 1 2
Direct
0.000 0.000 0.000 Hf
0.500 0.500 0.500 C
0.500 0.500 0.000 N
0.000 0.500 0.500 O
0.500 0.000 0.500 O